! NiHg3Pd3O8 (GGA+U, optimized geometry); values from VASP
! Density of states at the Fermi level = 4.8 states/eV/f.u.
! VASP energy = -63.9 eV/cell
! SG = No. 12
&SYSTEM
  ibrav = 0, nat = 15, ntyp = 4
/
ATOMIC_SPECIES
Pd 106.42 Pd.upf
Ni 58.69 Ni.upf
O 16.00 O.upf
Hg 200.59 Hg.upf
ATOMIC_POSITIONS crystal
Pd 0.500 0.000 0.500
Pd 0.500 0.500 0.500
Pd 0.000 0.500 0.500
Ni 0.000 0.000 0.500
O 0.298 0.596 0.350
O 0.202 0.905 0.651
O 0.703 0.905 0.651
O 0.702 0.404 0.650
O 0.297 0.095 0.349
O 0.798 0.095 0.349
O 0.207 0.413 0.655
O 0.793 0.587 0.345
Hg 0.000 0.500 0.000
Hg 0.000 0.000 0.000
Hg 0.500 0.500 0.000
CELL_PARAMETERS angstrom
-4.858 1.373 3.411
-0.505 -4.138 -4.496
3.103 -3.285 5.741